1.
# GaBiPSe

A relaxed structure of GaBiPSe (PBE, Alexandria).

Structure (extended XYZ):
```
4
Lattice="3.472 -1.864 0.000 3.472 1.864 0.000 -1.094 0.000 7.577" Properties=species:S:1:pos:R:3 pbc="T T T"
Ga 0.000 0.000 0.000
Bi 0.059 0.000 4.064
P 2.250 0.000 5.688
Se 4.755 0.000 1.334
```

Summary:
* E_form (uncorrected): -0.11 eV/atom
* crystal system: monoclinic
* polymorph energy (0 for the lowest one): 129.4 meV/atom
* Fermi-level density of states: 1.2 states/eV/cell
* magnetization: 0.00 μB/f.u.



2.
# TbEr5Hg6

A relaxed structure of TbEr5Hg6 (PBE, Alexandria).

Structure (extended XYZ):
```
12
Lattice="5.215 0.000 0.000 0.000 7.412 0.000 -2.564 0.000 7.859" Properties=species:S:1:pos:R:3 pbc="T T T"
Tb 0.000 0.000 0.000
Er 0.000 3.706 0.000
Er 0.028 0.000 5.225
Er 0.029 3.706 5.254
Er 2.622 3.706 2.605
Er 2.623 0.000 2.634
Hg 0.015 1.872 2.635
Hg 0.015 5.541 2.635
Hg 2.607 1.868 0.000
Hg 2.607 5.544 0.000
Hg 2.636 1.872 5.224
Hg 2.636 5.541 5.224
```

Summary:
* crystal system: monoclinic
* energy of formation: -46 kJ per mole of atoms
* Fermi-level density of states: 9.5 states/eV/cell
* magnetization: 0.00 μB/f.u.



3.
# Nd4SnTe2As

A relaxed structure of Nd4SnTe2As (PBE, Alexandria).

Structure (extended XYZ):
```
8
Lattice="7.707 0.000 0.000 0.000 4.444 0.000 -2.560 0.000 7.343" Properties=species:S:1:pos:R:3 pbc="T T T"
Nd 1.235 0.000 1.671
Nd -0.045 2.222 5.618
Nd 5.192 2.222 1.725
Nd 3.913 0.000 5.672
Sn 3.854 0.000 0.000
Te -1.280 0.000 3.671
Te 2.574 2.222 3.671
As 0.000 2.222 0.000
```

Summary:
* E_form (uncorrected): -1.33 eV/atom
* crystal system: monoclinic
* Fermi-level density of states: 1.7 states/eV/cell
* magnetization: 0.00 μB/f.u.



4.
# BaLi2Os

A relaxed structure of BaLi2Os (PBE, Alexandria).

Structure (extended XYZ):
```
4
Lattice="3.478 0.000 0.000 0.000 3.478 0.000 0.000 0.000 6.579" Properties=species:S:1:pos:R:3 pbc="T T T"
Ba 0.000 0.000 0.000
Li 1.739 1.739 2.209
Li 1.739 1.739 4.370
Os 0.000 0.000 3.289
```

Summary:
* crystal system: tetragonal
* energy of formation: 67 kJ per mole of atoms
* polymorph energy (0 for the lowest one): 101.2 meV/atom
* Fermi-level density of states: 4.8 states/eV/cell
* magnetization: 0.38 μB/f.u.



5.
# Na6SnHg3

A relaxed structure of Na6SnHg3 (PBE, Alexandria).

Structure (extended XYZ):
```
20
Lattice="10.347 0.000 0.000 0.000 4.911 0.000 -0.332 0.000 10.711" Properties=species:S:1:pos:R:3 pbc="T T T"
Na 0.332 1.228 4.324
Na 1.437 3.683 1.988
Na 2.107 1.228 10.482
Na 3.128 3.683 8.499
Na 3.581 1.228 3.058
Na 4.301 1.228 6.464
Na 5.715 3.683 4.247
Na 6.435 3.683 7.653
Na 6.887 1.228 2.212
Na 7.909 3.683 0.229
Na 8.578 1.228 8.723
Na 9.683 3.683 6.387
Sn 4.717 3.683 0.874
Sn 5.298 1.228 9.837
Hg 0.117 3.683 9.504
Hg 1.194 1.228 7.404
Hg 2.481 3.683 5.221
Hg 7.534 1.228 5.490
Hg 8.821 3.683 3.307
Hg 9.898 1.228 1.207
```

Summary:
* crystal system: monoclinic
* energy of formation: -19 kJ per mole of atoms
* polymorph energy (0 for the lowest one): 0.0 meV/atom
* Fermi-level density of states: 7.4 states/eV/cell
* magnetization: 0.00 μB/f.u.



6.
# Sc4Sn2Bi

A relaxed structure of Sc4Sn2Bi (PBE, Alexandria).

Structure (extended XYZ):
```
7
Lattice="-2.619 2.619 7.708 2.619 -2.619 7.708 2.619 2.619 -7.708" Properties=species:S:1:pos:R:3 pbc="T T T"
Sc 2.619 0.000 0.000
Sc 0.000 0.000 2.839
Sc 0.000 2.619 0.000
Sc 0.000 0.000 12.577
Sn 0.000 0.000 5.715
Sn 0.000 0.000 9.701
Bi 0.000 0.000 0.000
```

Summary:
* crystal system: tetragonal
* energy of formation: 0 kJ per mole of atoms
* Fermi-level density of states: 6.0 states/eV/cell
* magnetization: 0.00 μB/f.u.



7.
# Mn2HgRh

A relaxed structure of Mn2HgRh (PBE, Alexandria).

Structure (extended XYZ):
```
8
Lattice="-3.607 3.607 2.761 3.607 -3.607 2.761 3.607 3.607 -2.761" Properties=species:S:1:pos:R:3 pbc="T T T"
Mn 5.411 1.618 -0.690
Mn 1.618 1.804 0.690
Mn -1.804 1.990 2.071
Mn 1.990 1.804 3.451
Hg 3.607 0.000 1.380
Hg 0.000 0.000 2.761
Rh 0.000 0.000 0.000
Rh 0.000 3.607 1.380
```

Summary:
* crystal system: tetragonal
* energy of formation: 43 kJ per mole of atoms
* Fermi-level density of states: 4.2 states/eV/cell
* magnetization: 8.82 μB/f.u.



8.
# Ho2Er3In6

A relaxed structure of Ho2Er3In6 (PBE, Alexandria).

Structure (extended XYZ):
```
11
Lattice="-2.880 2.880 11.152 2.880 -2.880 11.152 2.880 2.880 -11.152" Properties=species:S:1:pos:R:3 pbc="T T T"
Ho 0.000 0.000 1.746
Ho 0.000 0.000 20.558
Er 0.000 0.000 7.927
Er 0.000 0.000 11.152
Er 0.000 0.000 14.377
In 2.880 0.000 1.547
In 0.000 0.000 4.843
In 2.880 0.000 9.605
In 0.000 2.880 1.547
In 0.000 0.000 17.461
In 0.000 2.880 9.605
```

Summary:
* crystal system: tetragonal
* energy of formation: 12 kJ per mole of atoms
* Fermi-level density of states: 13.7 states/eV/cell
* magnetization: 0.00 μB/f.u.



9.
# NdGa2Co3

A relaxed structure of NdGa2Co3 (PBE, Alexandria).

Structure (extended XYZ):
```
18
Lattice="9.137 0.000 0.000 -4.568 7.913 0.000 0.000 0.000 3.820" Properties=species:S:1:pos:R:3 pbc="T T T"
Nd 0.000 0.000 0.000
Nd 0.000 5.275 1.910
Nd 4.568 2.638 1.910
Ga -1.451 2.514 1.910
Ga -3.117 5.399 1.910
Ga 2.903 0.000 1.910
Ga 1.451 2.514 1.910
Ga 6.234 0.000 1.910
Ga 3.117 5.399 1.910
Co -2.284 3.956 0.000
Co 0.000 2.880 0.000
Co -2.074 6.473 0.000
Co 2.494 1.440 0.000
Co 4.568 0.000 0.000
Co 2.284 3.956 0.000
Co 2.074 6.473 0.000
Co 6.643 1.440 0.000
Co 4.568 5.033 0.000
```

Summary:
* crystal system: hexagonal
* energy of formation: -32 kJ per mole of atoms
* Fermi-level density of states: 14.9 states/eV/cell
* magnetization: 0.65 μB/f.u.



10.
# HfNbCu2C

A relaxed structure of HfNbCu2C (PBE, Alexandria).

Structure (extended XYZ):
```
5
Lattice="4.707 0.000 0.000 0.000 4.707 0.000 0.000 0.000 4.877" Properties=species:S:1:pos:R:3 pbc="T T T"
Hf 0.000 0.000 0.000
Nb 0.000 0.000 2.439
Cu 0.000 2.354 0.000
Cu 2.354 0.000 0.000
C 2.354 2.354 2.439
```

Summary:
* crystal system: tetragonal
* energy of formation: 259 kJ per mole of atoms
* Fermi-level density of states: 4.4 states/eV/cell
* magnetization: 0.00 μB/f.u.